This record from the Alexandria database describes crystalline CoCuPt at its relaxed geometry. The functional is PBE.

Calculated values
N(E_F) = 1.06 states/eV per atom
V = 13.06 Å³ per atom
Density = 13.5 g/cm³
Formation energy from the elements = -0.04 eV per atom
Space-group type = Imm2 (44)
Polymorph energy (0 for the lowest one) = 44.9 meV/atom

Cell lengths 4.552, 4.552, 4.552 Å; angles 145.46, 132.30, 60.21 degrees
Atoms (fractional coordinates):
Co1 0.000 0.000 0.000
Cu1 0.664 0.664 0.000
Pt1 0.334 0.334 0.000